No. 1
Density functional theory data (SCAN) for La2PtRh at its PBEsol-relaxed geometry.

The structure in CIF format:
```
data_La2PtRh
_chemical_formula_sum 'La6 Pt3 Rh3'
_space_group_name_H-M_alt 'R -3 m'
_space_group_IT_number 166
_space_group_name_Hall '-R 3 2"'
_cell_length_a 4.1198
_cell_length_b 4.1198
_cell_length_c 20.3555
_cell_angle_alpha 90.00
_cell_angle_beta 90.00
_cell_angle_gamma 120.00
loop_
_atom_site_label
_atom_site_type_symbol
_atom_site_fract_x
_atom_site_fract_y
_atom_site_fract_z
La1 La 0.0000 0.0000 0.2471
Pt1 Pt 0.0000 0.0000 0.0000
Rh1 Rh 0.0000 0.0000 0.5000
```

Output
Volume in A^3/atom: 24.93
DFT total energy in eV per atom: -48.56
ΔH_f (0 K) in eV/atom: -1.02

=====

No. 2
Density functional theory data (SCAN) for LaPt2Rh2 at its PBEsol-relaxed geometry.

The structure in CIF format:
```
data_LaPt2Rh2
_chemical_formula_sum 'La2 Pt4 Rh4'
_space_group_name_H-M_alt 'I 4/m m m'
_space_group_IT_number 139
_space_group_name_Hall '-I 4 2'
_cell_length_a 3.972
_cell_length_b 3.972
_cell_length_c 11.595
_cell_angle_alpha 90.00
_cell_angle_beta 90.00
_cell_angle_gamma 90.00
loop_
_atom_site_label
_atom_site_type_symbol
_atom_site_fract_x
_atom_site_fract_y
_atom_site_fract_z
La1 La 0.000 0.000 0.000
Pt1 Pt 0.000 0.500 0.250
Rh1 Rh 0.000 0.000 0.398
```

Output
Volume in A^3/atom: 18.29
DFT total energy in eV per atom: -50.62
ΔH_f (0 K) in eV/atom: -0.41

=====

No. 3
Density functional theory data (SCAN) for La2PtRh at its PBEsol-relaxed geometry.

The structure in CIF format:
```
data_La2PtRh
_chemical_formula_sum 'La2 Pt1 Rh1'
_space_group_name_H-M_alt 'P 4/m m m'
_space_group_IT_number 123
_space_group_name_Hall '-P 4 2'
_cell_length_a 4.130
_cell_length_b 4.130
_cell_length_c 5.832
_cell_angle_alpha 90.00
_cell_angle_beta 90.00
_cell_angle_gamma 90.00
loop_
_atom_site_label
_atom_site_type_symbol
_atom_site_fract_x
_atom_site_fract_y
_atom_site_fract_z
La1 La 0.000 0.000 0.000
La2 La 0.500 0.500 0.500
Pt1 Pt 0.000 0.000 0.500
Rh1 Rh 0.500 0.500 0.000
```

Output
Volume in A^3/atom: 24.87
DFT total energy in eV per atom: -48.56
ΔH_f (0 K) in eV/atom: -1.01

=====

No. 4
Density functional theory data (SCAN) for La2PtRh at its PBEsol-relaxed geometry.

The structure in CIF format:
```
data_La2PtRh
_chemical_formula_sum 'La4 Pt2 Rh2'
_space_group_name_H-M_alt 'I m m 2'
_space_group_IT_number 44
_cell_length_a 3.835
_cell_length_b 4.162
_cell_length_c 11.569
_cell_angle_alpha 90.00
_cell_angle_beta 90.00
_cell_angle_gamma 90.00
loop_
_space_group_symop_operation_xyz
'x,y,z'
'-x,-y,z'
'-x,y,z'
'x,-y,z'
'x+1/2,y+1/2,z+1/2'
'-x+1/2,-y+1/2,z+1/2'
'-x+1/2,y+1/2,z+1/2'
'x+1/2,-y+1/2,z+1/2'
loop_
_atom_site_label
_atom_site_type_symbol
_atom_site_fract_x
_atom_site_fract_y
_atom_site_fract_z
La1 La 0.000 0.000 0.000
La2 La 0.000 0.500 0.230
Pt1 Pt 0.000 0.000 0.454
Rh1 Rh 0.000 0.500 0.773
```

Output
Volume in A^3/atom: 23.08
DFT total energy in eV per atom: -48.43
ΔH_f (0 K) in eV/atom: -0.88

=====

No. 5
Density functional theory data (SCAN) for La2PtRh at its PBEsol-relaxed geometry.

The structure in CIF format:
```
data_La2PtRh
_chemical_formula_sum 'La4 Pt2 Rh2'
_space_group_name_H-M_alt 'A m m 2'
_space_group_IT_number 38
_cell_length_a 4.346
_cell_length_b 3.941
_cell_length_c 10.917
_cell_angle_alpha 90.00
_cell_angle_beta 90.00
_cell_angle_gamma 90.00
loop_
_space_group_symop_operation_xyz
'x,y,z'
'-x,-y,z'
'-x,y,z'
'x,-y,z'
'x,y+1/2,z+1/2'
'-x,-y+1/2,z+1/2'
'-x,y+1/2,z+1/2'
'x,-y+1/2,z+1/2'
loop_
_atom_site_label
_atom_site_type_symbol
_atom_site_fract_x
_atom_site_fract_y
_atom_site_fract_z
La1 La 0.000 0.000 0.000
La2 La 0.500 0.000 0.276
Pt1 Pt 0.000 0.000 0.722
Rh1 Rh 0.500 0.000 0.540
```

Output
Volume in A^3/atom: 23.37
DFT total energy in eV per atom: -48.66
ΔH_f (0 K) in eV/atom: -1.11

=====

No. 6
Density functional theory data (SCAN) for LaPtRh at its PBEsol-relaxed geometry.

The structure in CIF format:
```
data_LaPtRh
_chemical_formula_sum 'La1 Pt1 Rh1'
_space_group_name_H-M_alt 'P -6 m 2'
_space_group_IT_number 187
_space_group_name_Hall 'P -6 2'
_cell_length_a 4.3359
_cell_length_b 4.3359
_cell_length_c 3.9569
_cell_angle_alpha 90.00
_cell_angle_beta 90.00
_cell_angle_gamma 120.00
loop_
_atom_site_label
_atom_site_type_symbol
_atom_site_fract_x
_atom_site_fract_y
_atom_site_fract_z
La1 La 0.0000 0.0000 0.0000
Pt1 Pt 0.3333 0.6667 0.5000
Rh1 Rh 0.6667 0.3333 0.5000
```

Output
Volume in A^3/atom: 21.47
DFT total energy in eV per atom: -50.02
ΔH_f (0 K) in eV/atom: -1.00

=====

No. 7
Density functional theory data (SCAN) for La2RuPt at its PBEsol-relaxed geometry.

The structure in CIF format:
```
data_La2RuPt
_chemical_formula_sum 'La2 Ru1 Pt1'
_space_group_name_H-M_alt 'P 1 2/m 1'
_space_group_IT_number 10
_cell_length_a 3.509
_cell_length_b 3.509
_cell_length_c 7.263
_cell_angle_alpha 90.00
_cell_angle_beta 90.06
_cell_angle_gamma 90.00
loop_
_space_group_symop_operation_xyz
'x,y,z'
'-x,-y,-z'
'-x,y,-z'
'x,-y,z'
loop_
_atom_site_label
_atom_site_type_symbol
_atom_site_fract_x
_atom_site_fract_y
_atom_site_fract_z
La1 La 0.001 0.000 0.257
Ru1 Ru 0.500 0.500 0.500
Pt1 Pt 0.500 0.500 0.000
```

Output
Volume in A^3/atom: 22.36
DFT total energy in eV per atom: -48.52
ΔH_f (0 K) in eV/atom: -0.71

=====

No. 8
Density functional theory data (SCAN) for La4RuPt at its PBEsol-relaxed geometry.

The structure in CIF format:
```
data_La4RuPt
_chemical_formula_sum 'La16 Ru4 Pt4'
_space_group_name_H-M_alt 'F -4 3 m'
_space_group_IT_number 216
_space_group_name_Hall 'F -4 2 3'
_cell_length_a 8.414
_cell_length_b 8.414
_cell_length_c 8.414
_cell_angle_alpha 90.00
_cell_angle_beta 90.00
_cell_angle_gamma 90.00
loop_
_atom_site_label
_atom_site_type_symbol
_atom_site_fract_x
_atom_site_fract_y
_atom_site_fract_z
La1 La 0.125 0.125 0.125
Ru1 Ru 0.250 0.250 0.750
Pt1 Pt 0.000 0.000 0.500
```

Output
Volume in A^3/atom: 24.82
DFT total energy in eV per atom: -45.59
ΔH_f (0 K) in eV/atom: 0.65

=====

No. 9
Density functional theory data (SCAN) for La2RuPt at its PBEsol-relaxed geometry.

The structure in CIF format:
```
data_La2RuPt
_chemical_formula_sum 'La4 Ru2 Pt2'
_space_group_name_H-M_alt 'A m m 2'
_space_group_IT_number 38
_cell_length_a 4.435
_cell_length_b 4.076
_cell_length_c 10.197
_cell_angle_alpha 90.00
_cell_angle_beta 90.00
_cell_angle_gamma 90.00
loop_
_space_group_symop_operation_xyz
'x,y,z'
'-x,-y,z'
'-x,y,z'
'x,-y,z'
'x,y+1/2,z+1/2'
'-x,-y+1/2,z+1/2'
'-x,y+1/2,z+1/2'
'x,-y+1/2,z+1/2'
loop_
_atom_site_label
_atom_site_type_symbol
_atom_site_fract_x
_atom_site_fract_y
_atom_site_fract_z
La1 La 0.000 0.000 0.000
La2 La 0.500 0.000 0.295
Ru1 Ru 0.000 0.000 0.760
Pt1 Pt 0.500 0.000 0.581
```

Output
Volume in A^3/atom: 23.04
DFT total energy in eV per atom: -48.56
ΔH_f (0 K) in eV/atom: -0.75

=====

No. 10
Density functional theory data (SCAN) for LaPtS2 at its PBEsol-relaxed geometry.

The structure in CIF format:
```
data_LaPtS2
_chemical_formula_sum 'La4 Pt4 S8'
_space_group_name_H-M_alt 'F m -3 m'
_space_group_IT_number 225
_space_group_name_Hall '-F 4 2 3'
_cell_length_a 6.678
_cell_length_b 6.678
_cell_length_c 6.678
_cell_angle_alpha 90.00
_cell_angle_beta 90.00
_cell_angle_gamma 90.00
loop_
_atom_site_label
_atom_site_type_symbol
_atom_site_fract_x
_atom_site_fract_y
_atom_site_fract_z
La1 La 0.000 0.000 0.000
Pt1 Pt 0.000 0.000 0.500
S1 S 0.250 0.250 0.250
```

Output
Volume in A^3/atom: 18.62
DFT total energy in eV per atom: -34.07
Formation energy from raw total energies in eV per atom: -0.93

=====

No. 11
Density functional theory data (SCAN) for LaSb2Pt at its PBEsol-relaxed geometry.

The structure in CIF format:
```
data_LaSb2Pt
_chemical_formula_sum 'La2 Sb4 Pt2'
_space_group_name_H-M_alt 'I m m 2'
_space_group_IT_number 44
_cell_length_a 4.031
_cell_length_b 4.757
_cell_length_c 9.974
_cell_angle_alpha 90.00
_cell_angle_beta 90.00
_cell_angle_gamma 90.00
loop_
_space_group_symop_operation_xyz
'x,y,z'
'-x,-y,z'
'-x,y,z'
'x,-y,z'
'x+1/2,y+1/2,z+1/2'
'-x+1/2,-y+1/2,z+1/2'
'-x+1/2,y+1/2,z+1/2'
'x+1/2,-y+1/2,z+1/2'
loop_
_atom_site_label
_atom_site_type_symbol
_atom_site_fract_x
_atom_site_fract_y
_atom_site_fract_z
La1 La 0.000 0.000 0.000
Sb1 Sb 0.000 0.000 0.456
Sb2 Sb 0.000 0.500 0.232
Pt1 Pt 0.000 0.500 0.771
```

Output
Volume in A^3/atom: 23.90
DFT total energy in eV per atom: -47.66
Formation energy from raw total energies in eV per atom: -0.70

=====

No. 12
Density functional theory data (SCAN) for LaSbPt at its PBEsol-relaxed geometry.

The structure in CIF format:
```
data_LaSbPt
_chemical_formula_sum 'La1 Sb1 Pt1'
_space_group_name_H-M_alt 'P 3 m 1'
_space_group_IT_number 156
_cell_length_a 4.5345
_cell_length_b 4.5345
_cell_length_c 4.1484
_cell_angle_alpha 90.00
_cell_angle_beta 90.00
_cell_angle_gamma 120.00
loop_
_space_group_symop_operation_xyz
'x,y,z'
'-y,x-y,z'
'-x+y,-x,z'
'-y,-x,z'
'-x+y,y,z'
'x,x-y,z'
loop_
_atom_site_label
_atom_site_type_symbol
_atom_site_fract_x
_atom_site_fract_y
_atom_site_fract_z
La1 La 0.0000 0.0000 0.0000
Sb1 Sb 0.6667 0.3333 0.5112
Pt1 Pt 0.3333 0.6667 0.4609
```

Output
Volume in A^3/atom: 24.62
DFT total energy in eV per atom: -51.59
Formation energy from raw total energies in eV per atom: -1.40